# 1
Material: TiC3F
Method: DFT, PBE-GGA
State: optimized geometry

## Properties
Total DFT energy (no corrections) ... -5.342 eV per atom
Symmetry ... Pm-3m
Polymorph energy (0 for the lowest one) ... 0 meV per atom
Density ... 2.478 Mg/m³
Size of the total moment ... 0.00 μB per atom
Uncorrected formation energy ... 10.7 eV/f.u.

Cell: 4.101 4.101 4.101 Å, 90.00 90.00 90.00°
Fractional coordinates of all 5 atoms:
Ti 0.000 0.000 0.000
C 0.000 0.000 0.500
C 0.000 0.500 0.000
C 0.500 0.000 0.000
F 0.500 0.500 0.500

=====

# 2
Material: Mg2BeRe2
Method: DFT, PBE-GGA
State: optimized geometry

## Properties
Total DFT energy (no corrections) ... -6.004 eV per atom
Symmetry ... P4/mbm
Polymorph energy (0 for the lowest one) ... 0 meV per atom
Density ... 8.870 Mg/m³
Size of the total moment ... 0.00 μB per atom

Cell: 5.943 5.943 4.559 Å, 90.00 90.00 90.00°
Fractional coordinates of all 10 atoms:
Mg 0.166 0.334 0.000
Mg 0.334 0.834 0.000
Mg 0.666 0.166 0.000
Mg 0.834 0.666 0.000
Be 0.000 0.000 0.500
Be 0.500 0.500 0.500
Re 0.147 0.647 0.500
Re 0.353 0.147 0.500
Re 0.647 0.853 0.500
Re 0.853 0.353 0.500